(1)
DFT (SCAN) results for a crystal of BaSb2Br relaxed with PBEsol.

Structure (extended XYZ):
```
4
Lattice="4.416 -0.016 0.000 -0.076 4.416 0.000 -2.170 -2.200 6.898" Properties=species:S:1:pos:R:3 pbc="T T T"
Sb 1.123 -1.108 3.449
Sb -1.123 1.108 3.449
Br 2.170 2.200 0.000
Ba 0.000 0.000 0.000
```

## Properties
energy above the lowest structure with this stoichiometry: 0.310 eV per formula unit
energy: -137.260 eV for the cell shown
space group: Fmmm



(2)
DFT (SCAN) results for a crystal of RbReAu2F relaxed with PBEsol.

Structure (extended XYZ):
```
5
Lattice="-2.337 0.724 -5.163 5.051 -1.086 -2.439 -1.578 -6.799 -0.240" Properties=species:S:1:pos:R:3 pbc="T T T"
Au -1.169 0.362 -2.581
Au 2.525 -0.543 -1.220
F 0.568 -3.580 -3.921
Rb 0.000 0.000 0.000
Re -0.789 -3.400 -0.120
```

## Properties
energy: -222.535 eV for the cell shown
space group: P4/mmm



no.,uncorrected formation energy (eV per formula unit)
1,-3.73
2,11.16